GGA-PBE Mn2TlAg, relaxed; M_tot = 0.43 μB per formula unit; theoretical density = 9.9 g cm⁻³; space group = P4mm, No. 99; energy relative to the elements = 325 meV/atom; calculated total energy = -5.5638 eV per atom
1.0
-3.112 -0.689 0.200
0.655 -2.353 2.058
-0.645 4.447 5.291
Tl Mn Ag
1 2 1
direct
0.000 0.000 0.481
0.500 0.500 0.202
0.000 0.000 0.029
0.500 0.500 0.788